# 1
WC3Br | GGA-PBE | optimized geometry

a b c (Å): 3.8394 3.8394 3.8394
angles (deg): 90.00 90.00 90.00
Atoms (fractional coordinates):
W: 0.5000 0.5000 0.5000
C: 0.5000 0.0000 0.0000
C: 0.0000 0.0000 0.5000
C: 0.0000 0.5000 0.0000
Br: 0.0000 0.0000 0.0000

Calculated values
spin magnetization = 0.00 μB/f.u.
DFT total energy = -4.88 eV/atom
ΔE_f (raw) = 17.92 eV per formula unit
symmetry = Pm-3m (221)



# 2
WCBr2 | GGA-PBE | optimized geometry

a b c (Å): 8.5265 8.5265 8.5265
angles (deg): 21.24 21.24 21.24
Atoms (fractional coordinates):
Br: 0.0994 0.0994 0.0994
Br: 0.9006 0.9006 0.9006
C: 0.5000 0.5000 0.5000
W: 0.0000 0.0000 0.0000

Calculated values
spin magnetization = 0.00 μB/f.u.
DFT total energy = -4.37 eV/atom
ΔE_f (raw) = 8.03 eV per formula unit
symmetry = R-3m (166)



# 3
WCBr2 | GGA-PBE | optimized geometry

a b c (Å): 4.4648 4.4648 4.4648
angles (deg): 60.00 60.00 60.00
Atoms (fractional coordinates):
Br: 0.7500 0.7500 0.7500
Br: 0.2500 0.2500 0.2500
C: 0.0000 0.0000 0.0000
W: 0.5000 0.5000 0.5000

Calculated values
spin magnetization = 0.00 μB/f.u.
DFT total energy = -4.30 eV/atom
ΔE_f (raw) = 8.33 eV per formula unit
symmetry = Fm-3m (225)



# 4
YC3Br | GGA-PBE | optimized geometry

a b c (Å): 4.0539 4.0539 4.0539
angles (deg): 90.00 90.00 90.00
Atoms (fractional coordinates):
C: 0.0000 0.5000 0.0000
C: 0.0000 0.0000 0.5000
C: 0.5000 0.0000 0.0000
Y: 0.5000 0.5000 0.5000
Br: 0.0000 0.0000 0.0000

Calculated values
spin magnetization = 0.00 μB/f.u.
DFT total energy = -4.70 eV/atom
ΔE_f (raw) = 12.29 eV per formula unit
symmetry = Pm-3m (221)



# 5
YCBr2 | GGA-PBE | optimized geometry

a b c (Å): 4.9839 4.9839 4.9839
angles (deg): 60.00 60.00 60.00
Atoms (fractional coordinates):
C: 0.0000 0.0000 0.0000
Br: 0.7500 0.7500 0.7500
Br: 0.2500 0.2500 0.2500
Y: 0.5000 0.5000 0.5000

Calculated values
spin magnetization = 3.00 μB/f.u.
DFT total energy = -4.34 eV/atom
ΔE_f (raw) = 1.69 eV per formula unit
symmetry = Fm-3m (225)



# 6
Y2CBr3 | GGA-PBE | optimized geometry

a b c (Å): 3.9035 10.9280 9.0298
angles (deg): 77.40 77.52 79.71
Atoms (fractional coordinates):
Br: 0.3370 0.3666 0.9593
Br: 0.9544 0.8661 0.2252
Br: 0.0456 0.1339 0.7748
Br: 0.2093 0.2194 0.3620
Br: 0.7907 0.7806 0.6380
Br: 0.6630 0.6334 0.0407
C: 0.4627 0.4910 0.5835
C: 0.5373 0.5090 0.4165
Y: 0.1287 0.4856 0.2569
Y: 0.5702 0.2755 0.5841
Y: 0.8713 0.5144 0.7431
Y: 0.4298 0.7245 0.4159

Calculated values
spin magnetization = 0.00 μB/f.u.
DFT total energy = -5.83 eV/atom
ΔE_f (raw) = -7.80 eV per formula unit
symmetry = C2/m (12)



# 7
YCBr | GGA-PBE | optimized geometry

a b c (Å): 3.9211 3.9211 10.2260
angles (deg): 87.87 87.87 71.30
Atoms (fractional coordinates):
C: 0.3533 0.6467 0.0000
C: 0.6467 0.3533 0.0000
Y: 0.8199 0.8199 0.8671
Y: 0.1801 0.1801 0.1329
Br: 0.7885 0.7885 0.3083
Br: 0.2115 0.2115 0.6917

Calculated values
spin magnetization = 0.00 μB/f.u.
DFT total energy = -6.81 eV/atom
ΔE_f (raw) = -3.06 eV per formula unit
symmetry = C2/m (12)



# 8
YCBr2 | GGA-PBE | optimized geometry

a b c (Å): 8.6615 8.6615 8.6615
angles (deg): 25.37 25.37 25.37
Atoms (fractional coordinates):
Y: 0.0000 0.0000 0.0000
Br: 0.1095 0.1095 0.1095
Br: 0.8905 0.8905 0.8905
C: 0.5000 0.5000 0.5000

Calculated values
spin magnetization = 1.10 μB/f.u.
DFT total energy = -3.67 eV/atom
ΔE_f (raw) = 4.36 eV per formula unit
symmetry = R-3m (166)



# 9
YC2Br | GGA-PBE | optimized geometry

a b c (Å): 4.4201 4.4201 4.4201
angles (deg): 60.00 60.00 60.00
Atoms (fractional coordinates):
C: 0.7500 0.7500 0.7500
C: 0.2500 0.2500 0.2500
Br: 0.0000 0.0000 0.0000
Y: 0.5000 0.5000 0.5000

Calculated values
spin magnetization = 0.00 μB/f.u.
DFT total energy = -4.82 eV/atom
ΔE_f (raw) = 7.32 eV per formula unit
symmetry = Fm-3m (225)



# 10
YC2Br | GGA-PBE | optimized geometry

a b c (Å): 5.2622 5.2622 6.6650
angles (deg): 66.75 66.75 90.00
Atoms (fractional coordinates):
C: 0.1490 0.6250 0.2500
C: 0.6010 0.1250 0.2500
C: 0.8750 0.8510 0.7500
C: 0.3750 0.3990 0.7500
Br: 0.5000 0.5000 0.0000
Br: 0.2500 0.7500 0.5000
Y: 0.0000 0.0000 0.0000
Y: 0.7500 0.2500 0.5000

Calculated values
spin magnetization = 0.00 μB/f.u.
DFT total energy = -4.97 eV/atom
ΔE_f (raw) = 6.70 eV per formula unit
symmetry = I-42d (122)



# 11
YC3Br | GGA-PBE | optimized geometry

a b c (Å): 4.7390 4.7390 4.7390
angles (deg): 90.00 90.00 90.00
Atoms (fractional coordinates):
Y: 0.0000 0.0000 0.0000
C: 0.5000 0.0000 0.0000
C: 0.0000 0.5000 0.0000
C: 0.0000 0.0000 0.5000
Br: 0.5000 0.5000 0.5000

Calculated values
spin magnetization = 2.83 μB/f.u.
DFT total energy = -4.26 eV/atom
ΔE_f (raw) = 14.51 eV per formula unit
symmetry = Pm-3m (221)



# 12
YCBr | GGA-PBE | optimized geometry

a b c (Å): 3.8074 4.0181 11.0427
angles (deg): 94.08 89.92 118.26
Atoms (fractional coordinates):
C: 0.5751 0.1498 0.9669
C: 0.4249 0.8502 0.0331
Y: 0.8559 0.7100 0.8690
Y: 0.1441 0.2900 0.1310
Br: 0.8202 0.6436 0.3025
Br: 0.1798 0.3564 0.6975

Calculated values
spin magnetization = 0.00 μB/f.u.
DFT total energy = -6.86 eV/atom
ΔE_f (raw) = -3.23 eV per formula unit
symmetry = P-1 (2)



# 13
Y2CBr2 | GGA-PBE | optimized geometry

a b c (Å): 3.7134 3.7134 11.2193
angles (deg): 80.47 80.47 60.00
Atoms (fractional coordinates):
Br: 0.8976 0.8976 0.3073
Br: 0.1024 0.1024 0.6927
C: 0.0000 0.0000 0.0000
Y: 0.6254 0.6254 0.1239
Y: 0.3746 0.3746 0.8761

Calculated values
spin magnetization = 0.00 μB/f.u.
DFT total energy = -6.29 eV/atom
ΔE_f (raw) = -5.97 eV per formula unit
symmetry = R-3m (166)



# 14
YCBr | GGA-PBE | optimized geometry

a b c (Å): 4.0179 4.0179 10.8335
angles (deg): 82.01 82.01 56.56
Atoms (fractional coordinates):
Y: 0.4040 0.4040 0.8651
Y: 0.5960 0.5960 0.1349
Br: 0.2088 0.2088 0.3114
Br: 0.7912 0.7912 0.6886
C: 0.9128 0.9128 0.0341
C: 0.0872 0.0872 0.9659

Calculated values
spin magnetization = 0.00 μB/f.u.
DFT total energy = -6.86 eV/atom
ΔE_f (raw) = -3.23 eV per formula unit
symmetry = C2/m (12)



# 15
Y4C2Br | GGA-PBE | optimized geometry

a b c (Å): 3.6645 3.6645 13.4643
angles (deg): 82.18 82.18 60.00
Atoms (fractional coordinates):
Br: 0.0000 0.0000 0.0000
C: 0.4215 0.4215 0.7354
C: 0.5785 0.5785 0.2646
Y: 0.8760 0.8760 0.3720
Y: 0.2754 0.2754 0.1739
Y: 0.1240 0.1240 0.6280
Y: 0.7246 0.7246 0.8261

Calculated values
spin magnetization = 0.54 μB/f.u.
DFT total energy = -7.23 eV/atom
ΔE_f (raw) = -4.64 eV per formula unit
symmetry = R-3m (166)



# 16
YCBr2 | GGA-PBE | optimized geometry

a b c (Å): 4.4944 4.4944 9.8728
angles (deg): 76.84 76.84 90.00
Atoms (fractional coordinates):
Br: 0.3750 0.3825 0.7500
Br: 0.1325 0.6250 0.2500
Br: 0.8750 0.8675 0.7500
Br: 0.6175 0.1250 0.2500
C: 0.2500 0.7500 0.5000
C: 0.5000 0.5000 0.0000
Y: 0.0000 0.0000 0.0000
Y: 0.7500 0.2500 0.5000

Calculated values
spin magnetization = 0.88 μB/f.u.
DFT total energy = -4.23 eV/atom
ΔE_f (raw) = 2.13 eV per formula unit
symmetry = I-42d (122)



# 17
YCBr | GGA-PBE | optimized geometry

a b c (Å): 4.5699 4.9954 5.4350
angles (deg): 90.00 90.00 90.00
Atoms (fractional coordinates):
Br: 0.5000 0.0000 0.5314
Br: 0.0000 0.5000 0.4686
Y: 0.0000 0.0000 0.1252
Y: 0.5000 0.5000 0.8748
C: 0.0000 0.5000 0.0444
C: 0.5000 0.0000 0.9556

Calculated values
spin magnetization = 0.00 μB/f.u.
DFT total energy = -5.85 eV/atom
ΔE_f (raw) = -0.19 eV per formula unit
symmetry = Pmmn (59)



# 18
ZnCBr3 | GGA-PBE | optimized geometry

a b c (Å): 4.7557 4.7557 4.7557
angles (deg): 90.00 90.00 90.00
Atoms (fractional coordinates):
Br: 0.0000 0.0000 0.5000
Br: 0.0000 0.5000 0.0000
Br: 0.5000 0.0000 0.0000
C: 0.0000 0.0000 0.0000
Zn: 0.5000 0.5000 0.5000

Calculated values
spin magnetization = 0.00 μB/f.u.
DFT total energy = -2.13 eV/atom
ΔE_f (raw) = 4.86 eV per formula unit
symmetry = Pm-3m (221)



# 19
ZnC3Br | GGA-PBE | optimized geometry

a b c (Å): 4.1079 4.1079 4.1079
angles (deg): 90.00 90.00 90.00
Atoms (fractional coordinates):
Zn: 0.0000 0.0000 0.0000
C: 0.0000 0.5000 0.0000
C: 0.5000 0.0000 0.0000
C: 0.0000 0.0000 0.5000
Br: 0.5000 0.5000 0.5000

Calculated values
spin magnetization = 1.57 μB/f.u.
DFT total energy = -3.00 eV/atom
ΔE_f (raw) = 15.62 eV per formula unit
symmetry = Pm-3m (221)



# 20
ZnC2Br2 | GGA-PBE | optimized geometry

a b c (Å): 4.2036 4.2036 7.4620
angles (deg): 73.64 73.64 90.00
Atoms (fractional coordinates):
Br: 0.6960 0.6960 0.6081
Br: 0.3040 0.3040 0.3919
C: 0.2500 0.7500 0.5000
C: 0.7500 0.2500 0.5000
Zn: 0.0000 0.0000 0.0000

Calculated values
spin magnetization = 0.00 μB/f.u.
DFT total energy = -2.35 eV/atom
ΔE_f (raw) = 11.33 eV per formula unit
symmetry = I4/mmm (139)



# 21
ZnC2Br | GGA-PBE | optimized geometry

a b c (Å): 4.1854 4.1854 4.1854
angles (deg): 60.00 60.00 60.00
Atoms (fractional coordinates):
Br: 0.5000 0.5000 0.5000
C: 0.2500 0.2500 0.2500
C: 0.7500 0.7500 0.7500
Zn: 0.0000 0.0000 0.0000

Calculated values
spin magnetization = 0.00 μB/f.u.
DFT total energy = -2.52 eV/atom
ΔE_f (raw) = 11.30 eV per formula unit
symmetry = Fm-3m (225)



# 22
ZnC3Br | GGA-PBE | optimized geometry

a b c (Å): 4.0538 4.0538 4.0538
angles (deg): 90.00 90.00 90.00
Atoms (fractional coordinates):
C: 0.5000 0.0000 0.0000
C: 0.0000 0.0000 0.5000
C: 0.0000 0.5000 0.0000
Br: 0.0000 0.0000 0.0000
Zn: 0.5000 0.5000 0.5000

Calculated values
spin magnetization = 0.00 μB/f.u.
DFT total energy = -2.60 eV/atom
ΔE_f (raw) = 17.61 eV per formula unit
symmetry = Pm-3m (221)



# 23
ZnC2Br | GGA-PBE | optimized geometry

a b c (Å): 4.9123 4.9123 6.1559
angles (deg): 66.48 66.48 90.00
Atoms (fractional coordinates):
Zn: 0.5000 0.5000 0.0000
Zn: 0.2500 0.7500 0.5000
C: 0.1645 0.6250 0.2500
C: 0.5855 0.1250 0.2500
C: 0.3750 0.4145 0.7500
C: 0.8750 0.8355 0.7500
Br: 0.0000 0.0000 0.0000
Br: 0.7500 0.2500 0.5000

Calculated values
spin magnetization = 0.84 μB/f.u.
DFT total energy = -3.23 eV/atom
ΔE_f (raw) = 8.49 eV per formula unit
symmetry = I-42d (122)



# 24
ZnCBr3 | GGA-PBE | optimized geometry

a b c (Å): 5.1435 5.1435 5.1435
angles (deg): 90.00 90.00 90.00
Atoms (fractional coordinates):
Br: 0.0000 0.0000 0.5000
Br: 0.0000 0.5000 0.0000
Br: 0.5000 0.0000 0.0000
C: 0.5000 0.5000 0.5000
Zn: 0.0000 0.0000 0.0000

Calculated values
spin magnetization = 1.00 μB/f.u.
DFT total energy = -1.91 eV/atom
ΔE_f (raw) = 5.99 eV per formula unit
symmetry = Pm-3m (221)



# 25
ZnC2Br2 | GGA-PBE | optimized geometry

a b c (Å): 9.3506 9.3506 2.9995
angles (deg): 90.00 90.00 90.00
Atoms (fractional coordinates):
Zn: 0.0000 0.0000 0.0000
Zn: 0.5000 0.5000 0.0000
C: 0.2554 0.2446 0.5000
C: 0.2446 0.7446 0.5000
C: 0.7554 0.2554 0.5000
C: 0.7446 0.7554 0.5000
Br: 0.3497 0.8497 0.0000
Br: 0.8497 0.6503 0.0000
Br: 0.1503 0.3497 0.0000
Br: 0.6503 0.1503 0.0000

Calculated values
spin magnetization = 1.97 μB/f.u.
DFT total energy = -2.50 eV/atom
ΔE_f (raw) = 10.56 eV per formula unit
symmetry = P4/mbm (127)



# 26
ZrCBr3 | GGA-PBE | optimized geometry

a b c (Å): 4.7050 4.7050 4.7050
angles (deg): 90.00 90.00 90.00
Atoms (fractional coordinates):
Zr: 0.5000 0.5000 0.5000
Br: 0.0000 0.0000 0.5000
Br: 0.0000 0.5000 0.0000
Br: 0.5000 0.0000 0.0000
C: 0.0000 0.0000 0.0000

Calculated values
spin magnetization = 2.05 μB/f.u.
DFT total energy = -3.55 eV/atom
ΔE_f (raw) = 5.06 eV per formula unit
symmetry = Pm-3m (221)



# 27
ZrC3Br | GGA-PBE | optimized geometry

a b c (Å): 3.9459 3.9459 3.9459
angles (deg): 90.00 90.00 90.00
Atoms (fractional coordinates):
Br: 0.0000 0.0000 0.0000
C: 0.5000 0.0000 0.0000
C: 0.0000 0.0000 0.5000
C: 0.0000 0.5000 0.0000
Zr: 0.5000 0.5000 0.5000

Calculated values
spin magnetization = 0.00 μB/f.u.
DFT total energy = -4.93 eV/atom
ΔE_f (raw) = 13.24 eV per formula unit
symmetry = Pm-3m (221)



# 28
ZrC2Br | GGA-PBE | optimized geometry

a b c (Å): 5.1520 5.1520 6.6410
angles (deg): 67.18 67.18 90.00
Atoms (fractional coordinates):
Br: 0.2500 0.7500 0.5000
Br: 0.5000 0.5000 0.0000
C: 0.0929 0.6250 0.2500
C: 0.3750 0.3429 0.7500
C: 0.8750 0.9071 0.7500
C: 0.6571 0.1250 0.2500
Zr: 0.7500 0.2500 0.5000
Zr: 0.0000 0.0000 0.0000

Calculated values
spin magnetization = 0.00 μB/f.u.
DFT total energy = -5.62 eV/atom
ΔE_f (raw) = 6.20 eV per formula unit
symmetry = I-42d (122)